Density functional theory data (GGA-PBE) for an optimized crystal structure of PuPt.

Structure (POSCAR):
```
PuPt
1.0
2.964 0.000 0.000
-1.482 2.567 0.000
0.000 0.000 5.088
Pt Pu
1 1
Direct
0.667 0.333 0.750
0.333 0.667 0.250
```

Output
* density: 18.83 g cm⁻³
* energy of formation from the pure elements: -0.73 eV/f.u.
* total magnetic moment: 4.9 μB/cell

Density functional theory data (GGA-PBE) for an optimized crystal structure of RbPuPt.

Structure (POSCAR):
```
RbPuPt
1.0
0.000 3.632 3.632
3.632 0.000 3.632
3.632 3.632 0.000
Pt Rb Pu
1 1 1
Direct
0.000 0.000 0.000
0.750 0.750 0.750
0.250 0.250 0.250
```

Output
* density: 9.09 g cm⁻³
* energy: -6.861 eV/atom
* total magnetic moment: 6.2 μB/cell

Density functional theory data (GGA-PBE) for an optimized crystal structure of PuRePt.

Structure (POSCAR):
```
PuRePt
1.0
1.382 -4.008 -1.273
-2.041 -2.092 -3.325
2.052 -0.502 -3.890
Re Pt Pu
1 1 1
Direct
0.750 0.750 0.750
0.250 0.250 0.250
0.000 0.000 0.000
```

Output
* density: 16.93 g cm⁻³
* energy of formation from the pure elements: 2.60 eV/f.u.
* total magnetic moment: 0.1 μB/cell

Density functional theory data (GGA-PBE) for an optimized crystal structure of PuRePt.

Structure (POSCAR):
```
PuRePt
1.0
0.000 3.147 3.147
3.147 0.000 3.147
3.147 3.147 0.000
Pu Pt Re
1 1 1
Direct
0.250 0.250 0.250
0.000 0.000 0.000
0.750 0.750 0.750
```

Output
* density: 16.65 g cm⁻³
* energy of formation from the pure elements: 1.42 eV/f.u.
* total magnetic moment: 2.9 μB/cell

Density functional theory data (GGA-PBE) for an optimized crystal structure of PuSc2Pt3.

Structure (POSCAR):
```
PuSc2Pt3
1.0
-0.737 -3.223 -0.173
2.965 -0.606 -1.343
3.965 -1.410 9.394
Sc Pt Pu
2 3 1
Direct
0.500 0.500 0.842
0.500 0.500 0.158
0.000 0.000 0.689
0.000 0.000 0.000
0.000 0.000 0.311
0.500 0.500 0.500
```

Output
* density: 13.53 g cm⁻³
* energy of formation from the pure elements: -4.46 eV/f.u.
* total magnetic moment: 0.3 μB/cell

Density functional theory data (GGA-PBE) for an optimized crystal structure of PuScPt.

Structure (POSCAR):
```
PuScPt
1.0
-0.782 0.107 4.656
-3.827 -2.102 1.801
0.456 -3.941 2.563
Sc Pu Pt
1 1 1
Direct
0.750 0.750 0.750
0.250 0.250 0.250
0.000 0.000 0.000
```

Output
* density: 10.79 g cm⁻³
* energy of formation from the pure elements: -1.85 eV/f.u.
* total magnetic moment: 6.3 μB/cell